(1)
! AgAsRu, optimized geometry, DFT PBE-GGA; values from VASP
! - offset from the most stable computed form (meV/atom) = 0
! - SG = P4/nmm, No. 129
! - ΔE_f (eV per formula unit) = -0.34
! - E (eV per atom) = -5.704
! - crystal system = tetragonal
&SYSTEM
  ibrav = 0, nat = 6, ntyp = 3
/
ATOMIC_SPECIES
Ag 107.87 Ag.upf
Ru 101.07 Ru.upf
As 74.92 As.upf
CELL_PARAMETERS angstrom
-1.3428 -2.8876 -2.6192
-0.9705 -2.4354 3.1825
-5.6068 2.4545 0.1686
ATOMIC_POSITIONS angstrom
Ag -5.2681 0.8761 1.7350
Ru -3.9600 -1.4342 0.3660
As -4.7198 0.3285 -1.1879
Ru -2.8034 1.2272 0.0843
Ag -1.4954 -1.0831 -1.2848
As -2.0436 -0.5355 1.6381

=====

(2)
! GdMgScTc, optimized geometry, DFT PBE-GGA; values from VASP
! - SG = F-43m, No. 216
! - ΔE_f (eV per formula unit) = -0.13
! - E (eV per atom) = -8.126
! - crystal system = cubic
&SYSTEM
  ibrav = 0, nat = 4, ntyp = 4
/
ATOMIC_SPECIES
Tc 98.00 Tc.upf
Sc 44.96 Sc.upf
Mg 24.30 Mg.upf
Gd 157.25 Gd.upf
CELL_PARAMETERS angstrom
-2.2550 -3.9742 -1.8043
0.9434 -1.4900 -4.5853
2.5441 -4.1324 -0.7656
ATOMIC_POSITIONS angstrom
Tc 0.6162 -4.7983 -3.5776
Sc 0.9243 -7.1975 -5.3664
Mg 0.0000 0.0000 0.0000
Gd 0.3081 -2.3992 -1.7888

=====

(3)
! Sc2GeCl, optimized geometry, DFT PBE-GGA; values from VASP
! - offset from the most stable computed form (meV/atom) = 0
! - SG = R3m, No. 160
! - E (eV per atom) = -5.773
! - raw formation energy (eV/f.u.) = -3.97
! - crystal system = trigonal
&SYSTEM
  ibrav = 0, nat = 4, ntyp = 3
/
ATOMIC_SPECIES
Ge 72.64 Ge.upf
Cl 35.45 Cl.upf
Sc 44.96 Sc.upf
CELL_PARAMETERS angstrom
-2.1586 3.1577 -0.4075
-2.8831 0.6884 2.4516
2.5997 4.7325 4.7461
ATOMIC_POSITIONS angstrom
Ge -0.7877 7.2754 6.0838
Cl -1.1652 4.3343 3.4481
Sc -0.8044 1.9884 1.5134
Sc 1.6941 4.0025 3.8861

=====

(4)
! Nd2GaH, optimized geometry, DFT PBE-GGA; values from VASP
! - offset from the most stable computed form (meV/atom) = 148
! - SG = R-3m, No. 166
! - E (eV per atom) = -4.331
! - crystal system = trigonal
&SYSTEM
  ibrav = 0, nat = 4, ntyp = 3
/
ATOMIC_SPECIES
Ga 69.72 Ga.upf
Nd 144.24 Nd.upf
H 1.01 H.upf
CELL_PARAMETERS angstrom
-1.4038 -3.3106 -1.0281
0.4792 -1.2289 -3.4997
6.0173 -4.8256 0.5200
ATOMIC_POSITIONS angstrom
Ga 0.0000 0.0000 0.0000
Nd 1.5912 -2.5078 -0.8999
H 2.5463 -4.6826 -2.0039
Nd 3.5015 -6.8573 -3.1079

=====

(5)
! TbTmSc4, optimized geometry, DFT PBE-GGA; values from VASP
! - offset from the most stable computed form (meV/atom) = 195
! - SG = F-43m, No. 216
! - ΔE_f (eV per formula unit) = 1.37
! - E (eV per atom) = -5.509
! - crystal system = cubic
&SYSTEM
  ibrav = 0, nat = 6, ntyp = 3
/
ATOMIC_SPECIES
Sc 44.96 Sc.upf
Tm 168.93 Tm.upf
Tb 158.93 Tb.upf
CELL_PARAMETERS angstrom
-5.6934 -1.7567 -1.8683
-0.7025 -3.1131 -5.3672
-1.5865 -6.0389 0.0779
ATOMIC_POSITIONS angstrom
Sc -2.1434 -5.9393 -3.5394
Sc -4.1957 -3.7994 -4.5119
Tm 0.0000 0.0000 0.0000
Sc -4.6374 -5.2615 -1.7909
Sc -4.9885 -6.8172 -4.4730
Tb -1.9956 -2.7272 -1.7894

=====

(6)
! NaCr6Se8, optimized geometry, DFT PBE-GGA; values from VASP
! - SG = R-3, No. 148
! - E (eV per atom) = -6.288
! - raw formation energy (eV/f.u.) = -7.39
! - crystal system = trigonal
&SYSTEM
  ibrav = 0, nat = 15, ntyp = 3
/
ATOMIC_SPECIES
Se 78.96 Se.upf
Cr 52.00 Cr.upf
Na 22.99 Na.upf
CELL_PARAMETERS angstrom
-2.7641 -4.0728 4.8778
6.0358 0.2841 3.3925
-2.2835 5.7045 3.2039
ATOMIC_POSITIONS angstrom
Se -2.0917 0.0822 7.0984
Cr -1.2728 0.0616 4.6862
Se 0.0162 -2.0206 5.2832
Cr 0.3930 -0.5898 7.3569
Se 0.2404 0.4660 2.7910
Se 3.0798 1.8337 4.3758
Se 0.9719 3.9365 6.1910
Cr 2.2609 1.8543 6.7879
Se -1.8615 2.5806 4.6766
Cr -0.8341 2.2638 6.9861
Cr 1.8223 -0.3479 4.4880
Na 0.0000 0.0000 0.0000
Se 0.7478 1.4498 8.6831
Cr 0.5951 2.5056 4.1172
Se 2.8496 -0.6647 6.7975

=====

(7)
! Pr2BeIrO6, optimized geometry, DFT PBE-GGA; values from VASP
! - SG = Pmmn, No. 59
! - E (eV per atom) = -7.461
! - raw formation energy (eV/f.u.) = -22.71
! - crystal system = orthorhombic
&SYSTEM
  ibrav = 0, nat = 20, ntyp = 4
/
ATOMIC_SPECIES
Pr 140.91 Pr.upf
O 16.00 O.upf
Ir 192.22 Ir.upf
Be 9.01 Be.upf
CELL_PARAMETERS angstrom
5.4562 0.0000 0.0000
0.0000 5.9975 0.0000
0.0000 0.0000 7.1691
ATOMIC_POSITIONS angstrom
Pr 2.7281 4.8104 5.4414
O 1.3068 5.8255 3.5845
Ir 0.0000 4.3167 3.5845
O 0.0000 4.6129 1.5979
Pr 2.7281 4.8104 1.7277
O 1.4213 0.1720 0.0000
Pr 0.0000 1.1870 5.3122
O 1.3099 2.7758 3.5845
O 4.1463 2.7758 3.5845
Be 0.0000 3.9565 0.0000
Ir 2.7281 1.6807 0.0000
O 1.4182 3.2217 0.0000
Be 2.7281 2.0410 3.5845
O 4.1495 5.8255 3.5845
O 2.7281 1.3846 1.9866
O 0.0000 4.6129 5.5711
O 4.0349 0.1720 0.0000
Pr 0.0000 1.1870 1.8569
O 4.0380 3.2217 0.0000
O 2.7281 1.3846 5.1825

=====

(8)
! MgPaOsPd, optimized geometry, DFT PBE-GGA; values from VASP
! - SG = F-43m, No. 216
! - ΔE_f (eV per formula unit) = -1.29
! - E (eV per atom) = -7.200
! - crystal system = cubic
&SYSTEM
  ibrav = 0, nat = 4, ntyp = 4
/
ATOMIC_SPECIES
Os 190.23 Os.upf
Pd 106.42 Pd.upf
Mg 24.30 Mg.upf
Pa 231.04 Pa.upf
CELL_PARAMETERS angstrom
-0.5181 1.8291 4.3464
2.8614 -1.3953 3.5173
3.2649 2.9785 1.7247
ATOMIC_POSITIONS angstrom
Os 1.4021 0.8531 2.3971
Pd 4.2062 2.5593 7.1913
Mg 0.0000 0.0000 0.0000
Pa 2.8041 1.7062 4.7942

=====

Looking at N(E_F) for the records above, in order, we have 1.156, 2.858, 2.704, 2.409, 13.666, 4.575, 7.401, 3.446 states/eV/cell.